1.
VASP calculation (PBE) on AlCrSe3 after structural relaxation.

Cell lengths 4.887, 4.887, 4.887 Å; angles 90.00, 90.00, 90.00 degrees
Space group Pm-3m (No. 221)
Inequivalent atoms, fractional coordinates:
Al1 0.000 0.000 0.000
Cr1 0.500 0.500 0.500
Se1 0.000 0.000 0.500

Values from the calculation:
For the distance to the lowest polymorph of the same formula, the calculation gives 895 meV per atom. The uncorrected formation energy is 114 kJ/mol of formula units. The density of states at the Fermi level is 1.106 states/eV/atom. For the density, the calculation gives 4.5 Mg/m³. For the calculated volume, the calculation gives 23.34 Å³ per atom.

2.
VASP calculation (PBE) on Cs3Ag2AuI6 after structural relaxation.

Cell lengths 8.8499, 8.8499, 9.8575 Å; angles 90.00, 90.00, 120.00 degrees
Space group P-3m1 (No. 164)
Inequivalent atoms, fractional coordinates:
Cs1 0.0000 0.0000 0.0000
Cs2 0.3333 0.6667 0.6419
Ag1 0.3333 0.6667 0.2684
Au1 0.0000 0.0000 0.5000
I1 0.1556 0.3112 0.3053

Values from the calculation:
The uncorrected formation energy is -867 kJ/mol of formula units. For the density, the calculation gives 3.9 Mg/m³. For the calculated volume, the calculation gives 55.72 Å³ per atom.